Computed, not measured: crystalline Li2PuNiO5 at its relaxed geometry at the PBE+U level of DFT.

Output
calculated volume = 100 Å³/f.u.
DFT total energy = -6.476 eV per atom
N(E_F) = 0.485 states/eV/atom

abc: 6.4687 5.5552 5.5552
angles: 90.00 90.00 90.00
With the nearest neighbours (Å) after each atom.
Positions (direct):
Li 0.5000 0.7504 0.2504  4 O 1.96-2.05
Li 0.5000 0.2504 0.2496  4 O 1.96-2.05
Li 0.5000 0.7496 0.7504  4 O 1.96-2.05
Li 0.5000 0.2496 0.7496  4 O 1.96-2.05
Pu 0.0000 0.0000 0.5000  8 O 2.29
Pu 0.0000 0.5000 0.0000  8 O 2.29
Ni 0.0000 0.5000 0.5000  8 O 2.29
Ni 0.0000 0.0000 0.0000  8 O 2.29
O 0.5000 0.5000 0.5000  4 Li 1.96
O 0.5000 0.0000 0.0000  4 Li 1.96
O 0.1826 0.2501 0.7501  1 Li 2.05, 2 Pu 2.29, 2 Ni 2.29
O 0.1826 0.7499 0.2499  1 Li 2.05, 2 Pu 2.29, 2 Ni 2.29
O 0.1826 0.2499 0.2501  1 Li 2.05, 2 Pu 2.29, 2 Ni 2.29
O 0.1826 0.7501 0.7499  1 Li 2.05, 2 Pu 2.29, 2 Ni 2.29
O 0.8174 0.2501 0.7501  1 Li 2.05, 2 Pu 2.29, 2 Ni 2.29
O 0.8174 0.7501 0.7499  1 Li 2.05, 2 Pu 2.29, 2 Ni 2.29
O 0.8174 0.7499 0.2499  1 Li 2.05, 2 Pu 2.29, 2 Ni 2.29
O 0.8174 0.2499 0.2501  1 Li 2.05, 2 Pu 2.29, 2 Ni 2.29